No. 1
Below is NpMn2Fe after structural relaxation, with properties calculated at the PBE-GGA level.

Lattice parameters (Å, degrees): 2.835 2.835 6.853 90.00 90.00 90.00
Site moments in Bohr magnetons follow the coordinates.
Atoms (fractional coordinates):
Fe: 0.500 0.500 0.000  -1.22
Np: 0.500 0.500 0.500  3.23
Mn: 0.000 0.000 0.203  -1.92
Mn: 0.000 0.000 0.797  -1.92

SG: P4/mmm, No. 123
V: 55 Å³ per cell
Energy relative to the elements: 237 meV/atom
Total magnetization: 1.85 μB/f.u.
Distance to the lowest polymorph of the same formula: 130 meV/atom

=====

No. 2
Below is BiPdSe after structural relaxation, with properties calculated at the PBE-GGA level.

Lattice parameters (Å, degrees): 3.882 6.307 6.392 100.78 107.68 90.00
Atoms (fractional coordinates):
Pd: 0.563 0.341 0.126
Se: 0.161 0.199 0.321
Bi: 0.114 0.713 0.228
Bi: 0.886 0.287 0.772
Pd: 0.437 0.659 0.874
Se: 0.839 0.801 0.679

SG: C2/m, No. 12
V: 146 Å³ per cell
Total magnetization: 0.00 μB/f.u.
E_form (uncorrected): -0.260 eV per atom

=====

No. 3
Below is ScPbN3 after structural relaxation, with properties calculated at the PBE-GGA level.

Lattice parameters (Å, degrees): 4.169 4.169 4.169 90.00 90.00 90.00
Atoms (fractional coordinates):
Pb: 0.000 0.000 0.000
Sc: 0.500 0.500 0.500
N: 0.000 0.000 0.500
N: 0.500 0.000 0.000
N: 0.000 0.500 0.000

SG: Pm-3m, No. 221
V: 72 Å³ per cell
Total magnetization: 0.00 μB/f.u.
E_form (uncorrected): 1.373 eV per atom

=====

No. 4
Below is RbZrNiS4 after structural relaxation, with properties calculated at the PBE-GGA level.

Lattice parameters (Å, degrees): 6.470 5.529 9.257 90.00 106.50 90.00
Site moments in Bohr magnetons follow the coordinates.
Atoms (fractional coordinates):
S: 0.537 0.250 0.815  0.05
Rb: 0.764 0.750 0.955  0.00
Rb: 0.236 0.250 0.045  0.00
S: 0.005 0.504 0.681  0.03
Zr: 0.731 0.750 0.443  0.00
S: 0.426 0.750 0.578  0.07
S: 0.005 0.996 0.681  0.03
Ni: 0.256 0.750 0.335  0.35
Ni: 0.744 0.250 0.665  0.35
S: 0.995 0.496 0.319  0.03
S: 0.463 0.750 0.185  0.05
Zr: 0.269 0.250 0.557  0.00
S: 0.574 0.250 0.422  0.07
S: 0.995 0.004 0.319  0.03

SG: P2_1/m, No. 11
V: 318 Å³ per cell
Total magnetization: 0.68 μB/f.u.
E_form (uncorrected): -0.934 eV per atom

=====

No. 5
Below is Dy3Cu2Os after structural relaxation, with properties calculated at the PBE-GGA level.

Lattice parameters (Å, degrees): 4.883 7.694 6.942 90.00 90.00 71.50
Atoms (fractional coordinates):
Os: 0.665 0.670 0.000
Cu: 0.000 0.000 0.000
Dy: 0.169 0.661 0.760
Dy: 0.169 0.661 0.240
Dy: 0.500 0.000 0.241
Cu: 0.666 0.667 0.500
Cu: 0.334 0.333 0.500
Dy: 0.831 0.339 0.240
Os: 0.335 0.330 0.000
Dy: 0.831 0.339 0.760
Dy: 0.500 0.000 0.759
Cu: 0.000 0.000 0.500

SG: Cmmm, No. 65
V: 247 Å³ per cell
Energy relative to the elements: -250 meV/atom
Total magnetization: 0.00 μB/f.u.
Distance to the lowest polymorph of the same formula: 2 meV/atom

=====

No. 6
Below is Th4Cd5Fe2 after structural relaxation, with properties calculated at the PBE-GGA level.

Lattice parameters (Å, degrees): 3.631 7.924 9.582 95.04 90.00 90.00
Atoms (fractional coordinates):
Cd: 0.000 0.463 0.676
Fe: 0.000 0.087 0.634
Cd: 0.000 0.537 0.324
Fe: 0.000 0.913 0.366
Th: 0.500 0.208 0.446
Th: 0.500 0.792 0.554
Cd: 0.000 0.818 0.857
Th: 0.500 0.168 0.833
Cd: 0.000 0.500 0.000
Th: 0.500 0.832 0.167
Cd: 0.000 0.182 0.143

SG: P2/m, No. 10
V: 275 Å³ per cell
Energy relative to the elements: -119 meV/atom
Total magnetization: 0.00 μB/f.u.

=====

No. 7
Below is TaVCo after structural relaxation, with properties calculated at the PBE-GGA level.

Lattice parameters (Å, degrees): 3.056 3.056 5.062 107.57 107.57 90.00
Site moments in Bohr magnetons follow the coordinates.
Atoms (fractional coordinates):
Co: 0.290 0.290 0.580  1.05
V: 0.941 0.941 0.881  0.29
Ta: 0.620 0.620 0.239  -0.01

SG: I4mm, No. 107
V: 43 Å³ per cell
Energy relative to the elements: -30 meV/atom
Total magnetization: 1.33 μB/f.u.
Distance to the lowest polymorph of the same formula: 201 meV/atom

=====

No. 8
Below is LaPm6Er2Sc after structural relaxation, with properties calculated at the PBE-GGA level.

Lattice parameters (Å, degrees): 9.320 8.907 8.907 115.83 92.36 92.36
Atoms (fractional coordinates):
Pm: 0.309 0.014 0.452
Pm: 0.609 0.477 0.709
Pm: 0.555 0.768 0.120
Pm: 0.391 0.523 0.291
Pm: 0.809 0.452 0.014
Pm: 0.055 0.120 0.768
Sc: 0.750 0.579 0.421
Pm: 0.945 0.880 0.232
Er: 0.056 0.308 0.209
Pm: 0.109 0.709 0.477
Er: 0.444 0.791 0.692
Sc: 0.250 0.421 0.579
La: 0.250 0.966 0.034
Pm: 0.691 0.986 0.548
Er: 0.944 0.692 0.791
Pm: 0.445 0.232 0.880
Pm: 0.891 0.291 0.523
Pm: 0.191 0.548 0.986
La: 0.750 0.034 0.966
Er: 0.556 0.209 0.308

SG: C2/c, No. 15
V: 664 Å³ per cell
Energy relative to the elements: 127 meV/atom
Total magnetization: 0.00 μB/f.u.

=====

No. 9
Below is Na5Sm4Si4O16F after structural relaxation, with properties calculated at the PBE-GGA level.

Lattice parameters (Å, degrees): 8.846 8.846 8.846 95.56 95.56 143.71
Atoms (fractional coordinates):
Si: 0.259 0.114 0.350
Si: 0.092 0.741 0.855
Na: 0.000 0.000 0.000
O: 0.916 0.409 0.278
O: 0.131 0.638 0.722
O: 0.179 0.412 0.137
Na: 0.575 0.092 0.694
Na: 0.908 0.603 0.484
Sm: 0.340 0.639 0.933
O: 0.859 0.830 0.563
Sm: 0.361 0.294 0.701
Sm: 0.593 0.660 0.299
Sm: 0.706 0.407 0.067
O: 0.267 0.296 0.437
Na: 0.119 0.425 0.516
O: 0.705 0.952 0.176
F: 0.500 0.500 0.000
O: 0.776 0.529 0.824
O: 0.471 0.295 0.246
O: 0.958 0.821 0.233
O: 0.591 0.869 0.507
O: 0.362 0.084 0.493
Si: 0.886 0.237 0.145
O: 0.275 0.042 0.863
O: 0.588 0.725 0.767
Na: 0.397 0.881 0.306
Si: 0.763 0.908 0.650
O: 0.048 0.224 0.754
O: 0.170 0.733 0.029
O: 0.704 0.141 0.971

SG: I-4, No. 82
V: 389 Å³ per cell
Total magnetization: 0.00 μB/f.u.
E_form (uncorrected): -2.907 eV per atom

=====

No. 10
Below is Si2PAu after structural relaxation, with properties calculated at the PBE-GGA level.

Lattice parameters (Å, degrees): 10.193 10.193 10.193 15.48 15.48 15.48
Atoms (fractional coordinates):
P: 0.741 0.741 0.741
Au: 0.502 0.502 0.502
Si: 0.252 0.252 0.252
Si: 0.005 0.005 0.005

SG: R3m, No. 160
V: 66 Å³ per cell
Total magnetization: 0.00 μB/f.u.
E_form (uncorrected): 0.493 eV per atom

=====

No. 11
Below is InHgPb2 after structural relaxation, with properties calculated at the PBE-GGA level.

Lattice parameters (Å, degrees): 6.049 6.049 5.954 132.88 132.88 68.42
Atoms (fractional coordinates):
Hg: 0.250 0.750 0.500
Pb: 0.000 0.000 0.000
Pb: 0.500 0.500 0.000
In: 0.750 0.250 0.500

SG: C2/m, No. 12
V: 115 Å³ per cell
Energy relative to the elements: 20 meV/atom
Total magnetization: 0.00 μB/f.u.
Distance to the lowest polymorph of the same formula: 15 meV/atom

=====

No. 12
Below is CsRbSbPb2 after structural relaxation, with properties calculated at the PBE-GGA level.

Lattice parameters (Å, degrees): 6.103 7.000 6.103 90.00 90.00 90.00
Atoms (fractional coordinates):
Sb: 0.000 0.000 0.000
Pb: 0.500 0.000 0.000
Cs: 0.000 0.500 0.000
Pb: 0.000 0.000 0.500
Rb: 0.500 0.500 0.500

SG: P4/mmm, No. 123
V: 261 Å³ per cell
Total magnetization: 0.00 μB/f.u.
E_form (uncorrected): 0.119 eV per atom

=====

No. 13
Below is V2GaWI after structural relaxation, with properties calculated at the PBE-GGA level.

Lattice parameters (Å, degrees): 4.825 5.426 4.825 90.00 90.00 90.00
Site moments in Bohr magnetons follow the coordinates.
Atoms (fractional coordinates):
W: 0.000 0.000 0.000  -0.52
I: 0.000 0.500 0.000  0.04
Ga: 0.500 0.500 0.500  0.06
V: 0.500 0.000 0.000  2.35
V: 0.000 0.000 0.500  1.61

SG: P4/mmm, No. 123
V: 126 Å³ per cell
Total magnetization: 4.41 μB/f.u.
E_form (uncorrected): 1.441 eV per atom

=====

No. 14
Below is Ba12Cu3N5 after structural relaxation, with properties calculated at the PBE-GGA level.

Lattice parameters (Å, degrees): 15.328 15.328 15.328 109.47 109.47 109.47
Atoms (fractional coordinates):
Ba: 0.519 0.199 0.121
Cu: 0.125 0.250 0.875
N: 0.500 0.000 0.500
Ba: 0.981 0.379 0.301
N: 0.125 0.750 0.375
Ba: 0.399 0.019 0.320
N: 0.500 0.000 0.000
Ba: 0.899 0.820 0.519
N: 0.250 0.875 0.125
Ba: 0.199 0.680 0.079
Ba: 0.921 0.101 0.621
Cu: 0.750 0.875 0.625
Ba: 0.379 0.981 0.801
Cu: 0.250 0.625 0.875
Ba: 0.680 0.199 0.579
Ba: 0.801 0.481 0.379
N: 0.875 0.625 0.750
N: 0.000 0.000 0.000
N: 0.750 0.625 0.375
Cu: 0.875 0.750 0.125
Ba: 0.199 0.519 0.621
Ba: 0.101 0.180 0.481
N: 0.500 0.500 0.000
Ba: 0.601 0.621 0.421
N: 0.875 0.250 0.625
N: 0.375 0.250 0.125
N: 0.000 0.000 0.500
N: 0.000 0.500 0.500
Ba: 0.601 0.981 0.680
Ba: 0.079 0.180 0.199
Ba: 0.481 0.680 0.101
N: 0.250 0.375 0.625
Ba: 0.019 0.621 0.699
Ba: 0.121 0.699 0.519
Ba: 0.621 0.019 0.199
N: 0.750 0.125 0.875
Ba: 0.899 0.079 0.879
Ba: 0.079 0.899 0.379
Ba: 0.579 0.879 0.399
Ba: 0.421 0.121 0.601
Cu: 0.625 0.375 0.750
Cu: 0.125 0.875 0.750
Ba: 0.301 0.421 0.820
Cu: 0.625 0.250 0.375
Ba: 0.820 0.921 0.301
Cu: 0.875 0.125 0.250
Ba: 0.680 0.481 0.601
Ba: 0.320 0.519 0.399
Ba: 0.699 0.121 0.019
Ba: 0.121 0.421 0.101
Cu: 0.375 0.625 0.250
N: 0.625 0.875 0.250
Ba: 0.519 0.320 0.899
Ba: 0.180 0.101 0.981
Ba: 0.379 0.399 0.079
Ba: 0.621 0.601 0.921
Ba: 0.879 0.579 0.899
Cu: 0.375 0.750 0.625
Ba: 0.320 0.801 0.421
Ba: 0.019 0.399 0.820
N: 0.125 0.375 0.250
Ba: 0.579 0.699 0.680
Ba: 0.879 0.301 0.481
Ba: 0.699 0.579 0.180
N: 0.625 0.750 0.875
Ba: 0.421 0.301 0.320
Ba: 0.820 0.899 0.019
Ba: 0.301 0.879 0.981
Ba: 0.921 0.820 0.801
N: 0.500 0.500 0.500
Ba: 0.180 0.079 0.699
N: 0.000 0.500 0.000
Cu: 0.750 0.375 0.125
Cu: 0.250 0.125 0.375
Ba: 0.399 0.379 0.579
Ba: 0.101 0.921 0.121
Ba: 0.481 0.801 0.879
N: 0.375 0.125 0.750
Ba: 0.801 0.320 0.921
Ba: 0.981 0.601 0.180

SG: Ia-3d, No. 230
V: 2772 Å³ per cell
Total magnetization: 1.31 μB/f.u.
E_form (uncorrected): -0.149 eV per atom

=====

No. 15
Below is UMnRe after structural relaxation, with properties calculated at the PBE-GGA level.

Lattice parameters (Å, degrees): 2.775 4.449 4.449 120.00 90.00 90.00
Site moments in Bohr magnetons follow the coordinates.
Atoms (fractional coordinates):
Re: 0.284 0.333 0.667  0.14
U: 0.972 0.000 0.000  -0.61
Mn: 0.745 0.667 0.333  1.70

SG: P3m1, No. 156
V: 48 Å³ per cell
Energy relative to the elements: 267 meV/atom
Total magnetization: 1.26 μB/f.u.
Distance to the lowest polymorph of the same formula: 182 meV/atom

=====

No. 16
Below is PdPb2Cl6 after structural relaxation, with properties calculated at the PBE-GGA level.

Lattice parameters (Å, degrees): 6.424 9.154 8.654 90.00 90.00 91.41
Atoms (fractional coordinates):
Cl: 0.180 0.450 0.359
Pd: 0.000 0.500 0.000
Cl: 0.134 0.734 0.050
Pb: 0.469 0.213 0.108
Pb: 0.531 0.787 0.892
Cl: 0.202 0.054 0.358
Cl: 0.634 0.234 0.450
Cl: 0.366 0.766 0.550
Cl: 0.866 0.266 0.950
Cl: 0.820 0.550 0.641
Cl: 0.702 0.554 0.142
Cl: 0.680 0.950 0.141
Cl: 0.798 0.946 0.642
Pb: 0.031 0.287 0.608
Cl: 0.320 0.050 0.859
Pb: 0.969 0.713 0.392
Cl: 0.298 0.446 0.858
Pd: 0.500 0.000 0.500

SG: P2_1/c, No. 14
V: 509 Å³ per cell
Total magnetization: 0.04 μB/f.u.
E_form (uncorrected): -0.909 eV per atom
Distance to the lowest polymorph of the same formula: 13 meV/atom

=====

No. 17
Below is BaPtW after structural relaxation, with properties calculated at the PBE-GGA level.

Lattice parameters (Å, degrees): 5.108 6.006 6.724 55.98 90.01 64.81
Atoms (fractional coordinates):
W: 0.068 0.290 0.087
Ba: 0.087 0.956 0.754
Ba: 0.330 0.470 0.497
Pt: 0.700 0.713 0.625
W: 0.646 0.136 0.164
Pt: 0.700 0.713 0.126

SG: Ima2, No. 46
V: 147 Å³ per cell
Energy relative to the elements: 161 meV/atom
Total magnetization: 0.00 μB/f.u.
Distance to the lowest polymorph of the same formula: 121 meV/atom

=====

No. 18
Below is Cs6Cd3Pt after structural relaxation, with properties calculated at the PBE-GGA level.

Lattice parameters (Å, degrees): 8.129 10.443 13.481 101.11 90.00 90.00
Atoms (fractional coordinates):
Cd: 0.696 0.514 0.667
Cd: 0.500 0.500 0.000
Cs: 0.693 0.675 0.293
Cd: 0.000 0.000 0.500
Cs: 0.055 0.666 0.908
Cs: 0.445 0.166 0.408
Cs: 0.945 0.334 0.092
Cd: 0.304 0.486 0.333
Pt: 0.500 0.500 0.500
Cd: 0.804 0.014 0.167
Cs: 0.613 0.824 0.920
Cs: 0.555 0.834 0.592
Cd: 0.196 0.986 0.833
Cs: 0.887 0.324 0.420
Cs: 0.387 0.176 0.080
Cs: 0.307 0.325 0.707
Cs: 0.807 0.175 0.793
Pt: 0.000 0.000 0.000
Cs: 0.193 0.825 0.207
Cs: 0.113 0.676 0.580

SG: P2_1/c, No. 14
V: 1123 Å³ per cell
Energy relative to the elements: -8 meV/atom
Total magnetization: 0.00 μB/f.u.

=====

No. 19
Below is ScNi2P after structural relaxation, with properties calculated at the PBE-GGA level.

Lattice parameters (Å, degrees): 3.244 3.750 4.821 90.00 90.00 90.00
Atoms (fractional coordinates):
Sc: 0.000 0.500 0.500
Ni: 0.500 0.000 0.250
P: 0.500 0.500 0.000
Ni: 0.500 0.000 0.750

SG: Pmmm, No. 47
V: 59 Å³ per cell
Energy relative to the elements: -610 meV/atom
Total magnetization: 0.00 μB/f.u.
Distance to the lowest polymorph of the same formula: 271 meV/atom